Entry 1:
## Dy2Zn5Pt4 (PBE-GGA)

Data for a geometry-optimized Dy2Zn5Pt4 structure.

Cell and atoms, written as POSCAR:
```
Dy2Zn5Pt4
1.0
0.000 4.565 8.336
2.650 0.000 8.336
2.650 4.565 0.000
Dy Zn Pt
2 5 4
Direct
0.144 0.144 0.856
0.856 0.856 0.144
0.000 0.000 0.500
0.250 0.250 0.250
0.500 0.500 0.000
0.500 0.500 0.500
0.750 0.750 0.750
0.213 0.532 0.468
0.468 0.787 0.213
0.532 0.213 0.787
0.787 0.468 0.532
```

Values from the calculation:
Volume (Å³ per cell): 201.7
Space-group type: Fmmm (69)
Total magnetic moment (μB per formula unit): 0.00
Formation energy (kJ/mol of formula units): -766

=====

Entry 2:
## TmTh3N (PBE-GGA)

Data for a geometry-optimized TmTh3N structure.

Cell and atoms, written as POSCAR:
```
TmTh3N
1.0
5.073 0.000 0.000
0.000 5.073 0.000
0.000 0.000 5.073
Tm Th N
1 3 1
Direct
0.000 0.000 0.000
0.000 0.500 0.500
0.500 0.000 0.500
0.500 0.500 0.000
0.500 0.500 0.500
```

Values from the calculation:
Volume (Å³ per cell): 130.5
Space-group type: Pm-3m (221)
Total magnetic moment (μB per formula unit): 0.00
Formation energy without anion corrections (eV/atom): -0.615

=====

Entry 3:
## CaAc5Pm6 (PBE-GGA)

Data for a geometry-optimized CaAc5Pm6 structure.

Cell and atoms, written as POSCAR:
```
CaAc5Pm6
1.0
-2.739 5.273 8.102
2.739 -5.273 8.102
2.739 5.273 -8.102
Ca Ac Pm
1 5 6
Direct
0.000 0.000 0.000
0.167 0.667 0.500
0.332 0.332 0.000
0.500 0.000 0.500
0.668 0.668 0.000
0.833 0.333 0.500
0.085 0.833 0.253
0.257 0.500 0.757
0.420 0.167 0.253
0.580 0.833 0.747
0.743 0.500 0.243
0.915 0.167 0.747
```

Values from the calculation:
Volume (Å³ per cell): 468.1
Space-group type: Immm (71)
Total magnetic moment (μB per formula unit): 0.00
Formation energy (kJ/mol of formula units): 55

=====

Entry 4:
## Ni2RuBr (PBE-GGA)

Data for a geometry-optimized Ni2RuBr structure.

Cell and atoms, written as POSCAR:
```
Ni2RuBr
1.0
4.414 0.000 0.000
0.000 2.903 0.000
-1.123 0.000 4.357
Ni Ru Br
2 1 1
Direct
0.000 0.000 0.000
0.500 0.500 0.000
0.000 0.500 0.500
0.500 0.000 0.500
```

Values from the calculation:
Volume (Å³ per cell): 55.8
Space-group type: P2/m (10)
Total magnetic moment (μB per formula unit): 1.72
Relative energy among the computed polymorphs (eV per atom): 0.2743
Formation energy without anion corrections (eV/atom): 0.759

=====

Entry 5:
## NaScAl2Re (PBE-GGA)

Data for a geometry-optimized NaScAl2Re structure.

Cell and atoms, written as POSCAR:
```
NaScAl2Re
1.0
4.955 0.000 0.000
0.000 4.955 0.000
0.000 0.000 4.925
Na Sc Al Re
1 1 2 1
Direct
0.000 0.000 0.000
0.500 0.500 0.000
0.000 0.500 0.500
0.500 0.000 0.500
0.500 0.500 0.500
```

Values from the calculation:
Volume (Å³ per cell): 120.9
Space-group type: P4/mmm (123)
Total magnetic moment (μB per formula unit): 0.00
Formation energy (kJ/mol of formula units): 71

=====

Entry 6:
## BPIrAu (PBE-GGA)

Data for a geometry-optimized BPIrAu structure.

Cell and atoms, written as POSCAR:
```
BPIrAu
1.0
3.671 -1.476 0.000
3.671 1.476 0.000
-2.369 0.000 5.973
B P Ir Au
1 1 1 1
Direct
0.000 0.000 0.000
0.333 0.333 0.750
0.702 0.702 0.955
0.208 0.208 0.352
```

Values from the calculation:
Volume (Å³ per cell): 64.7
Space-group type: Cm (8)
Total magnetic moment (μB per formula unit): 0.00
Formation energy (kJ/mol of formula units): 12
Relative energy among the computed polymorphs (eV per atom): 0.0000

=====

Entry 7:
## Pr2AgSn3Pt4 (PBE-GGA)

Data for a geometry-optimized Pr2AgSn3Pt4 structure.

Cell and atoms, written as POSCAR:
```
Pr2AgSn3Pt4
1.0
4.532 0.000 0.000
0.000 4.532 0.000
0.000 0.000 10.955
Pr Ag Sn Pt
2 1 3 4
Direct
0.000 0.500 0.245
0.500 0.000 0.755
0.500 0.500 0.000
0.000 0.000 0.000
0.000 0.500 0.628
0.500 0.000 0.372
0.000 0.000 0.500
0.000 0.500 0.863
0.500 0.000 0.137
0.500 0.500 0.500
```

Values from the calculation:
Volume (Å³ per cell): 225.0
Space-group type: P-4m2 (115)
Total magnetic moment (μB per formula unit): 0.00
Formation energy (kJ/mol of formula units): -721

=====

Entry 8:
## LaTmInPb (PBE-GGA)

Data for a geometry-optimized LaTmInPb structure.

Cell and atoms, written as POSCAR:
```
LaTmInPb
1.0
0.000 3.884 3.884
3.884 0.000 3.884
3.884 3.884 0.000
La Tm In Pb
1 1 1 1
Direct
0.000 0.000 0.000
0.500 0.500 0.500
0.250 0.250 0.250
0.750 0.750 0.750
```

Values from the calculation:
Volume (Å³ per cell): 117.2
Space-group type: F-43m (216)
Total magnetic moment (μB per formula unit): 0.00
Formation energy (kJ/mol of formula units): -169
Relative energy among the computed polymorphs (eV per atom): 0.0278

=====

Entry 9:
## Pr6YHo12 (PBE-GGA)

Data for a geometry-optimized Pr6YHo12 structure.

Cell and atoms, written as POSCAR:
```
Pr6YHo12
1.0
6.651 3.840 4.228
-6.651 3.840 4.228
0.000 -7.680 4.228
Pr Y Ho
6 1 12
Direct
0.156 0.597 0.597
0.403 0.403 0.844
0.403 0.844 0.403
0.597 0.156 0.597
0.597 0.597 0.156
0.844 0.403 0.403
0.500 0.500 0.500
0.000 0.256 0.744
0.000 0.744 0.256
0.144 0.144 0.419
0.144 0.419 0.144
0.256 0.000 0.744
0.256 0.744 0.000
0.419 0.144 0.144
0.581 0.856 0.856
0.744 0.000 0.256
0.744 0.256 0.000
0.856 0.581 0.856
0.856 0.856 0.581
```

Values from the calculation:
Volume (Å³ per cell): 647.8
Space-group type: R-3m (166)
Total magnetic moment (μB per formula unit): 0.00
Formation energy (kJ/mol of formula units): 400
Relative energy among the computed polymorphs (eV per atom): 0.0889

=====

Entry 10:
## Tm5Sb4Te (PBE-GGA)

Data for a geometry-optimized Tm5Sb4Te structure.

Cell and atoms, written as POSCAR:
```
Tm5Sb4Te
1.0
-4.842 4.842 3.062
4.842 -4.842 3.062
4.842 4.842 -3.062
Tm Sb Te
5 4 1
Direct
0.000 0.000 0.000
0.194 0.601 0.795
0.399 0.194 0.593
0.601 0.806 0.407
0.806 0.399 0.205
0.102 0.298 0.400
0.298 0.898 0.196
0.702 0.102 0.804
0.898 0.702 0.600
0.500 0.500 0.000
```

Values from the calculation:
Volume (Å³ per cell): 287.1
Space-group type: I4/m (87)
Total magnetic moment (μB per formula unit): 0.00
Relative energy among the computed polymorphs (eV per atom): 0.0000
Formation energy without anion corrections (eV/atom): -1.132

=====

Entry 11:
## Cu8AgAu4 (PBE-GGA)

Data for a geometry-optimized Cu8AgAu4 structure.

Cell and atoms, written as POSCAR:
```
Cu8AgAu4
1.0
2.775 0.000 0.000
0.000 4.324 0.000
0.000 0.000 16.147
Cu Ag Au
8 1 4
Direct
0.000 0.000 0.000
0.000 0.000 0.281
0.000 0.500 0.091
0.000 0.500 0.457
0.500 0.000 0.413
0.500 0.000 0.696
0.500 0.500 0.606
0.500 0.500 0.958
0.500 0.000 0.858
0.000 0.000 0.554
0.000 0.500 0.760
0.500 0.000 0.143
0.500 0.500 0.309
```

Values from the calculation:
Volume (Å³ per cell): 193.7
Space-group type: Pmm2 (25)
Total magnetic moment (μB per formula unit): 0.00
Formation energy (kJ/mol of formula units): 60

=====

Entry 12:
## Pm2DySb2 (PBE-GGA)

Data for a geometry-optimized Pm2DySb2 structure.

Cell and atoms, written as POSCAR:
```
Pm2DySb2
1.0
-4.284 5.934 3.173
4.284 -5.934 3.173
4.284 5.934 -3.173
Pm Dy Sb
4 2 4
Direct
0.151 0.143 0.294
0.349 0.643 0.991
0.651 0.357 0.009
0.849 0.857 0.706
0.250 0.750 0.500
0.750 0.250 0.500
0.108 0.779 0.888
0.392 0.279 0.671
0.608 0.721 0.329
0.892 0.221 0.112
```

Values from the calculation:
Volume (Å³ per cell): 322.7
Space-group type: Ibam (72)
Total magnetic moment (μB per formula unit): 0.00
Formation energy without anion corrections (eV/atom): -0.849

=====

- What is the total magnetic moment in the third record?
  0.00 μB per formula unit

=====

- Which formula does entry 1 have?
  Dy2Zn5Pt4